1.
Material: Ac2Nd4Tm7
Method: DFT, GGA-PBE
State: relaxed

## Properties
For the raw total energy, the calculation gives -4.299 eV/atom. For the density of states at the Fermi level, the calculation gives 19.08 states/eV/cell. For the energy of formation, the calculation gives 0.21 eV per atom. The total magnetization comes out at 0.000 μB per cell. As for the symmetry: No. 162.

abc: 6.1777 6.1777 13.6042
angles: 90.00 90.00 120.00
Sites, in units of the cell vectors:
1 Ac 0.3333 0.6667 0.0000
2 Ac 0.6667 0.3333 0.0000
3 Nd 0.0000 0.0000 0.3937
4 Nd 0.0000 0.0000 0.6063
5 Nd 0.3333 0.6667 0.5000
6 Nd 0.6667 0.3333 0.5000
7 Tm 0.0000 0.0000 0.0000
8 Tm 0.0000 0.3476 0.7851
9 Tm 0.0000 0.6524 0.2149
10 Tm 0.3476 0.0000 0.7851
11 Tm 0.3476 0.3476 0.2149
12 Tm 0.6524 0.0000 0.2149
13 Tm 0.6524 0.6524 0.7851

---

2.
Material: LaTb2PmSm6
Method: DFT, GGA-PBE
State: relaxed

## Properties
For the raw total energy, the calculation gives -4.607 eV/atom. For the density of states at the Fermi level, the calculation gives 30.09 states/eV/cell. For the energy of formation, the calculation gives 0.12 eV per atom. The total magnetization comes out at 0.000 μB per cell. As for the symmetry: No. 15.

abc: 8.9417 8.9417 9.7953
angles: 94.09 94.09 117.71
Sites, in units of the cell vectors:
1 La 0.0944 0.9056 0.7500
2 La 0.9056 0.0944 0.2500
3 Tb 0.2059 0.3055 0.9547
4 Tb 0.3055 0.2059 0.4547
5 Tb 0.6945 0.7941 0.5453
6 Tb 0.7941 0.6945 0.0453
7 Pm 0.4719 0.5281 0.2500
8 Pm 0.5281 0.4719 0.7500
9 Sm 0.0091 0.7944 0.3787
10 Sm 0.0689 0.5237 0.1800
11 Sm 0.2056 0.9909 0.1213
12 Sm 0.2540 0.6141 0.5564
13 Sm 0.3859 0.7460 0.9436
14 Sm 0.4763 0.9311 0.3200
15 Sm 0.5237 0.0689 0.6800
16 Sm 0.6141 0.2540 0.0564
17 Sm 0.7460 0.3859 0.4436
18 Sm 0.7944 0.0091 0.8787
19 Sm 0.9311 0.4763 0.8200
20 Sm 0.9909 0.2056 0.6213

---

Question: Which of these has the lowest energy of formation?
Answer: LaTb2PmSm6